TeWI2O | PBE+U | relaxed

Its energy above the most stable polymorph in this dataset is 660 meV per atom. Its uncorrected energy is -15.71 eV for the cell shown. The value obtained for the density of states at the Fermi level is 0.3781 states/eV/atom. The calculation puts the total moment at 4.72 μB per cell.

The space group is P4/mmm (No. 123) and the conventional cell measures 6.1325, 6.1325 and 4.0893 Å, with angles of 90.00, 90.00 and 90.00 degrees. The asymmetric unit holds Te at (0.0000, 0.0000, 0.0000), W at (0.5000, 0.5000, 0.5000), I at (0.0000, 0.5000, 0.0000) and O at (0.0000, 0.0000, 0.5000).